(1)
Here is an optimized crystal structure of Nd2YTc from Alexandria via LeMat-Bulk. Energies are from PBE-GGA.

a b c (Å): 3.5065 3.5065 11.2166
angles (deg): 81.01 81.01 60.00
Fractional positions:
Y1 0.0000 0.0000 0.0000
Nd1 0.1038 0.1038 0.6886
Nd2 0.8962 0.8962 0.3114
Tc1 0.5000 0.5000 0.5000

Summary:
As for the formation energy: 381.4 meV/atom.

(2)
Here is an optimized crystal structure of NdY4Tc from Alexandria via LeMat-Bulk. Energies are from PBE-GGA.

a b c (Å): 6.2742 7.9778 7.9778
angles (deg): 107.89 100.68 100.68
Fractional positions:
Nd1 0.7500 0.6078 0.3922
Nd2 0.2500 0.3922 0.6078
Y1 0.8734 0.6465 0.8317
Y2 0.0517 0.9362 0.2699
Y3 0.6266 0.1683 0.3535
Y4 0.4483 0.7301 0.0638
Y5 0.5517 0.2699 0.9362
Y6 0.3734 0.8317 0.6465
Y7 0.9483 0.0638 0.7301
Y8 0.1266 0.3535 0.1683
Tc1 0.2500 0.9969 0.0031
Tc2 0.7500 0.0031 0.9969

Summary:
As for the formation energy: 13.8 meV/atom.

(3)
Here is an optimized crystal structure of NdY3Tc from Alexandria via LeMat-Bulk. Energies are from PBE-GGA.

a b c (Å): 3.9638 6.4081 12.1861
angles (deg): 81.80 80.64 71.98
Fractional positions:
Nd1 0.1115 0.4861 0.2908
Nd2 0.2257 0.5440 0.0046
Y1 0.4513 0.9495 0.1479
Y2 0.7594 0.7232 0.7580
Y3 0.1011 0.1760 0.6218
Y4 0.9831 0.1324 0.9014
Y5 0.7884 0.0381 0.3850
Y6 0.4263 0.6206 0.5269
Tc1 0.7880 0.2763 0.1477
Tc2 0.4259 0.3907 0.7575

Summary:
As for the formation energy: -22.2 meV/atom.

(4)
Here is an optimized crystal structure of Nd2YTc from Alexandria via LeMat-Bulk. Energies are from PBE-GGA.

a b c (Å): 6.4265 7.5041 9.5354
angles (deg): 90.00 90.00 90.00
Fractional positions:
Nd1 0.1647 0.6773 0.0644
Nd2 0.3353 0.1773 0.4356
Nd3 0.8353 0.3227 0.5644
Nd4 0.6647 0.8227 0.9356
Nd5 0.8353 0.3227 0.9356
Nd6 0.6647 0.8227 0.5644
Nd7 0.1647 0.6773 0.4356
Nd8 0.3353 0.1773 0.0644
Y1 0.6365 0.5463 0.2500
Y2 0.8635 0.0463 0.2500
Y3 0.3635 0.4537 0.7500
Y4 0.1365 0.9537 0.7500
Tc1 0.0397 0.3907 0.2500
Tc2 0.4603 0.8907 0.2500
Tc3 0.9603 0.6093 0.7500
Tc4 0.5397 0.1093 0.7500

Summary:
As for the formation energy: -5.2 meV/atom.

(5)
Here is an optimized crystal structure of NdY2Tc from Alexandria via LeMat-Bulk. Energies are from PBE-GGA.

a b c (Å): 3.4580 3.4580 11.2524
angles (deg): 81.16 81.16 60.00
Fractional positions:
Y1 0.1060 0.1060 0.6819
Y2 0.8940 0.8940 0.3181
Nd1 0.0000 0.0000 0.0000
Tc1 0.5000 0.5000 0.5000

Summary:
As for the formation energy: 282.7 meV/atom.

(6)
Here is an optimized crystal structure of NdYZnTc from Alexandria via LeMat-Bulk. Energies are from PBE-GGA.

a b c (Å): 5.0161 5.0161 5.0161
angles (deg): 60.00 60.00 60.00
Fractional positions:
Y1 0.7500 0.7500 0.7500
Zn1 0.5000 0.5000 0.5000
Nd1 0.2500 0.2500 0.2500
Tc1 0.0000 0.0000 0.0000

Summary:
As for the formation energy: -68.8 meV/atom.

Looking at VASP energy for the records above, in order, we have -24.8 -81.8 -69.3 -105.5 -26.9 -23.1 eV for the cell shown.